# 1
First-principles (PBE) data for a relaxed CsRb2Cl3 crystal, as listed in the Alexandria database.

The calculation puts the excess energy over the best structure of this formula in the dataset at 29.5 meV per atom. As for the space group: No. 139. The calculation puts the formation energy from raw total energies at -11.5 eV per formula unit. The magnetic moment is 0.04 μB/atom.

Cell lengths 10.436, 10.436, 10.436 Å; angles 151.76, 151.76, 40.37 degrees
Sites, in units of the cell vectors:
Cs  0.000  0.000  0.000
Rb  0.333  0.333  0.000
Rb  0.667  0.667  0.000
Cl  0.170  0.170  0.000
Cl  0.500  0.500  0.000
Cl  0.830  0.830  0.000

# 2
First-principles (PBE) data for a relaxed NdTm12Tl3 crystal, as listed in the Alexandria database.

The energy relative to the elements comes out at -0.108 eV per atom. As for the space group: No. 123. The magnetic moment is 0.00 μB/atom.

Cell lengths 4.815, 4.815, 19.652 Å; angles 90.00, 90.00, 90.00 degrees
Sites, in units of the cell vectors:
Nd  0.000  0.000  0.000
Tm  0.000  0.500  0.131
Tm  0.000  0.500  0.378
Tm  0.000  0.500  0.622
Tm  0.000  0.500  0.869
Tm  0.500  0.000  0.131
Tm  0.500  0.000  0.378
Tm  0.500  0.000  0.622
Tm  0.500  0.000  0.869
Tm  0.500  0.500  0.000
Tm  0.500  0.500  0.256
Tm  0.500  0.500  0.500
Tm  0.500  0.500  0.744
Tl  0.000  0.000  0.257
Tl  0.000  0.000  0.500
Tl  0.000  0.000  0.743

# 3
First-principles (PBE) data for a relaxed MoRuAu2 crystal, as listed in the Alexandria database.

The energy relative to the elements comes out at 0.325 eV per atom. The calculation puts the excess energy over the best structure of this formula in the dataset at 202.4 meV per atom. As for the space group: No. 139. The magnetic moment is 0.00 μB/atom.

Cell lengths 5.133, 5.133, 5.133 Å; angles 135.84, 135.84, 64.23 degrees
Sites, in units of the cell vectors:
Mo  0.000  0.000  0.000
Ru  0.500  0.500  0.000
Au  0.250  0.750  0.500
Au  0.750  0.250  0.500

# 4
First-principles (PBE) data for a relaxed InSnSb2I crystal, as listed in the Alexandria database.

The calculation puts the excess energy over the best structure of this formula in the dataset at 0.0 meV per atom. As for the space group: No. 123. The calculation puts the formation energy from raw total energies at 2.1 eV per formula unit. The magnetic moment is 0.22 μB/atom.

Cell lengths 5.715, 5.715, 6.246 Å; angles 90.00, 90.00, 90.00 degrees
Sites, in units of the cell vectors:
In  0.000  0.000  0.000
Sn  0.500  0.500  0.500
Sb  0.000  0.500  0.500
Sb  0.500  0.000  0.500
I  0.500  0.500  0.000

# 5
First-principles (PBE) data for a relaxed K3Rb4SnI8 crystal, as listed in the Alexandria database.

As for the space group: No. 12. The calculation puts the formation energy from raw total energies at -20.2 eV per formula unit. The magnetic moment is 0.06 μB/atom.

Cell lengths 10.419, 10.419, 10.215 Å; angles 118.41, 118.41, 58.24 degrees
Sites, in units of the cell vectors:
K  0.000  0.000  0.000
K  0.000  0.500  0.500
K  0.500  0.000  0.500
Rb  0.000  0.000  0.500
Rb  0.000  0.500  0.000
Rb  0.500  0.000  0.000
Rb  0.500  0.500  0.500
Sn  0.500  0.500  0.000
I  0.229  0.229  0.720
I  0.247  0.247  0.254
I  0.261  0.730  0.769
I  0.270  0.739  0.231
I  0.730  0.261  0.769
I  0.739  0.270  0.231
I  0.753  0.753  0.746
I  0.771  0.771  0.280

# 6
First-principles (PBE) data for a relaxed RbLiTi3 crystal, as listed in the Alexandria database.

The energy relative to the elements comes out at 2.056 eV per atom. The calculation puts the excess energy over the best structure of this formula in the dataset at 652.7 meV per atom. As for the space group: No. 221. The magnetic moment is 0.60 μB/atom.

Cell lengths 4.821, 4.821, 4.821 Å; angles 90.00, 90.00, 90.00 degrees
Sites, in units of the cell vectors:
Rb  0.000  0.000  0.000
Li  0.500  0.500  0.500
Ti  0.000  0.000  0.500
Ti  0.000  0.500  0.000
Ti  0.500  0.000  0.000

# 7
First-principles (PBE) data for a relaxed Zr6CO3 crystal, as listed in the Alexandria database.

As for the space group: No. 14. The calculation puts the formation energy from raw total energies at -15.7 eV per formula unit. The magnetic moment is 0.00 μB/atom.

Cell lengths 5.712, 6.189, 10.334 Å; angles 90.00, 120.03, 90.00 degrees
Sites, in units of the cell vectors:
Zr  0.087  0.031  0.255
Zr  0.087  0.469  0.755
Zr  0.245  0.686  0.073
Zr  0.245  0.814  0.573
Zr  0.385  0.197  0.072
Zr  0.385  0.303  0.572
Zr  0.615  0.697  0.428
Zr  0.615  0.803  0.928
Zr  0.755  0.186  0.427
Zr  0.755  0.314  0.927
Zr  0.913  0.531  0.245
Zr  0.913  0.969  0.745
C  0.500  0.000  0.500
C  0.500  0.500  0.000
O  0.000  0.000  0.000
O  0.000  0.500  0.500
O  0.120  0.130  0.639
O  0.120  0.370  0.139
O  0.880  0.630  0.861
O  0.880  0.870  0.361

# 8
First-principles (PBE) data for a relaxed CaSi2 crystal, as listed in the Alexandria database.

As for the space group: No. 164. The calculation puts the formation energy from raw total energies at -1.1 eV per formula unit. The magnetic moment is 0.00 μB/atom.

Cell lengths 3.893, 3.893, 4.924 Å; angles 90.00, 90.00, 120.00 degrees
Sites, in units of the cell vectors:
Ca  0.000  0.000  0.000
Si  0.333  0.667  0.585
Si  0.667  0.333  0.415

- Which value of magnetic moment does entry 3 give?
  0.00 μB/atom

- The highest magnetic moment belongs to which entry?
  RbLiTi3

- Number 2 is which compound?
  NdTm12Tl3